[1]
# BaBeFe2Mo

BaBeFe2Mo at its PBEsol-relaxed geometry (meta-GGA SCAN, Alexandria).

Computed properties:
The space group is P4/mmm. The value obtained for the electronic total energy is -21.261 eV per atom. The calculation puts the formation enthalpy at 0 K at 40.33 kcal/mol of atoms.

Unit cell a=4.4489 b=4.4489 c=5.7187 alpha=90.00 beta=90.00 gamma=90.00
Last column: nearest neighbours and their distance in Å.
Element x y z (fractional)
1 Ba 0.0000 0.0000 0.0000  2 Mo 2.86, 4 Be 3.15
2 Be 0.5000 0.5000 0.0000  4 Ba 3.15
3 Fe 0.0000 0.5000 0.5000  2 Mo 2.22
4 Fe 0.5000 0.0000 0.5000  2 Mo 2.22
5 Mo 0.0000 0.0000 0.5000  4 Fe 2.22

=====

[2]
# Cs2RbHg

Cs2RbHg at its PBEsol-relaxed geometry (meta-GGA SCAN, Alexandria).

Computed properties:
The space group is I-42d. The value obtained for the electronic total energy is -41.221 eV per atom. The calculation puts the formation enthalpy at 0 K at -2.07 kcal/mol of atoms. The calculation puts the relative energy among the computed polymorphs at 0 meV per atom.

Unit cell a=9.3657 b=9.3657 c=9.3657 alpha=99.84 beta=99.84 gamma=131.15
Last column: nearest neighbours and their distance in Å.
Element x y z (fractional)
1 Cs 0.0303 0.6250 0.9053  2 Hg 3.68
2 Cs 0.3750 0.2803 0.4053  2 Hg 3.68
3 Cs 0.7197 0.1250 0.0947  2 Hg 3.68
4 Cs 0.8750 0.9697 0.5947  2 Hg 3.68
5 Rb 0.2500 0.7500 0.5000  2 Hg 3.87
6 Rb 0.5000 0.5000 0.0000  2 Hg 3.87
7 Hg 0.0000 0.0000 0.0000  4 Cs 3.68, 2 Rb 3.87
8 Hg 0.7500 0.2500 0.5000  4 Cs 3.68, 2 Rb 3.87

=====

[3]
# Mg2HIr

Mg2HIr at its PBEsol-relaxed geometry (meta-GGA SCAN, Alexandria).

Computed properties:
The space group is Fm-3m. The value obtained for the electronic total energy is -20.947 eV per atom.

Unit cell a=4.3295 b=4.3295 c=4.3295 alpha=60.00 beta=60.00 gamma=60.00
Last column: nearest neighbours and their distance in Å.
Element x y z (fractional)
1 Mg 0.2500 0.2500 0.2500  4 H 2.65, 4 Ir 2.65
2 Mg 0.7500 0.7500 0.7500  4 H 2.65, 4 Ir 2.65
3 H 0.0000 0.0000 0.0000  8 Mg 2.65
4 Ir 0.5000 0.5000 0.5000  8 Mg 2.65